No. 1
Nb2AlCo2Bi | PBE | relaxed

The structure in CIF format:
```
data_Nb2AlCo2Bi
_chemical_formula_sum 'Nb8 Al4 Co8 Bi4'
_symmetry_space_group_name_H-M 'I -4 2 d'
_symmetry_Int_Tables_number 122
_symmetry_space_group_name_Hall 'I -4 2bw'
_cell_length_a 5.922
_cell_length_b 5.922
_cell_length_c 11.828
_cell_angle_alpha 90.00
_cell_angle_beta 90.00
_cell_angle_gamma 90.00
loop_
_atom_site_label
_atom_site_type_symbol
_atom_site_fract_x
_atom_site_fract_y
_atom_site_fract_z
_atom_site_occupancy
Nb1 Nb 0.000 0.000 0.241 1
Al1 Al 0.000 0.000 0.000 1
Co1 Co 0.234 0.250 0.125 1
Bi1 Bi 0.000 0.000 0.500 1
```

Results
DFT total energy in eV/atom: -7.23

---

No. 2
AlCuBi | PBE | relaxed

The structure in CIF format:
```
data_AlCuBi
_chemical_formula_sum 'Al4 Cu4 Bi4'
_symmetry_space_group_name_H-M 'F -4 3 m'
_symmetry_Int_Tables_number 216
_symmetry_space_group_name_Hall 'F -4 2 3'
_cell_length_a 6.614
_cell_length_b 6.614
_cell_length_c 6.614
_cell_angle_alpha 90.00
_cell_angle_beta 90.00
_cell_angle_gamma 90.00
loop_
_atom_site_label
_atom_site_type_symbol
_atom_site_fract_x
_atom_site_fract_y
_atom_site_fract_z
_atom_site_occupancy
Al1 Al 0.000 0.000 0.000 1
Cu1 Cu 0.000 0.000 0.500 1
Bi1 Bi 0.250 0.250 0.250 1
```

Results
DFT total energy in eV/atom: -3.38

---

No. 3
Er5Al2Bi | PBE | relaxed

The structure in CIF format:
```
data_Er5Al2Bi
_chemical_formula_sum 'Er20 Al8 Bi4'
_symmetry_space_group_name_H-M 'I 4/m c m'
_symmetry_Int_Tables_number 140
_symmetry_space_group_name_Hall '-I 4 2c'
_cell_length_a 8.197
_cell_length_b 8.197
_cell_length_c 12.706
_cell_angle_alpha 90.00
_cell_angle_beta 90.00
_cell_angle_gamma 90.00
loop_
_atom_site_label
_atom_site_type_symbol
_atom_site_fract_x
_atom_site_fract_y
_atom_site_fract_z
_atom_site_occupancy
Er1 Er 0.000 0.000 0.000 1
Er2 Er 0.154 0.346 0.144 1
Al1 Al 0.143 0.357 0.500 1
Bi1 Bi 0.000 0.000 0.250 1
```

Results
DFT total energy in eV/atom: -4.73

---

No. 4
AlFe2Bi | PBE | relaxed

The structure in CIF format:
```
data_AlFe2Bi
_chemical_formula_sum 'Al4 Fe8 Bi4'
_symmetry_space_group_name_H-M 'P m -3 m'
_symmetry_Int_Tables_number 221
_symmetry_space_group_name_Hall '-P 4 2 3'
_cell_length_a 6.420
_cell_length_b 6.420
_cell_length_c 6.420
_cell_angle_alpha 90.00
_cell_angle_beta 90.00
_cell_angle_gamma 90.00
loop_
_atom_site_label
_atom_site_type_symbol
_atom_site_fract_x
_atom_site_fract_y
_atom_site_fract_z
_atom_site_occupancy
Al1 Al 0.000 0.000 0.000 1
Al2 Al 0.000 0.000 0.500 1
Fe1 Fe 0.211 0.211 0.211 1
Bi1 Bi 0.000 0.500 0.500 1
Bi2 Bi 0.500 0.500 0.500 1
```

Results
DFT total energy in eV/atom: -5.82